[1]
# Nb2VRu (PBE-GGA, optimized geometry)
data_Nb2VRu
_chemical_formula_sum 'Nb2 V1 Ru1'
_cell_length_a 3.1613
_cell_length_b 4.4886
_cell_length_c 4.4886
_cell_angle_alpha 90.00
_cell_angle_beta 90.00
_cell_angle_gamma 90.00
_space_group_name_H-M_alt 'P 1'
_space_group_IT_number 1
loop_
_space_group_symop_operation_xyz
'x,y,z'
loop_
_atom_site_label
_atom_site_type_symbol
_atom_site_fract_x
_atom_site_fract_y
_atom_site_fract_z
_atom_site_occupancy
Ru1 Ru 0.5000 0.0000 0.0000 1
Nb1 Nb 0.0000 0.0000 0.5000 1
Nb2 Nb 0.0000 0.5000 0.0000 1
V1 V 0.5000 0.5000 0.5000 1
# magnetization	0.000	μB/atom
# uncorrected energy	-39.4	eV per formula unit
# formation energy	-218	meV per atom
# D(E_F)	0.582	states/eV/atom
# crystal system	tetragonal

[2]
# Nb5VRu2 (PBE-GGA, optimized geometry)
data_Nb5VRu2
_chemical_formula_sum 'Nb5 V1 Ru2'
_cell_length_a 5.5548
_cell_length_b 5.5548
_cell_length_c 5.5548
_cell_angle_alpha 109.40
_cell_angle_beta 109.40
_cell_angle_gamma 109.61
_space_group_name_H-M_alt 'P 1'
_space_group_IT_number 1
loop_
_space_group_symop_operation_xyz
'x,y,z'
loop_
_atom_site_label
_atom_site_type_symbol
_atom_site_fract_x
_atom_site_fract_y
_atom_site_fract_z
_atom_site_occupancy
Nb1 Nb 0.2779 0.2779 0.5000 1
Nb2 Nb 0.2779 0.7779 0.0000 1
Nb3 Nb 0.7779 0.2779 0.0000 1
Nb4 Nb 0.7779 0.7779 0.5000 1
Nb5 Nb 0.2779 0.2779 0.0000 1
V1 V 0.7779 0.7779 0.0000 1
Ru1 Ru 0.2778 0.7779 0.5000 1
Ru2 Ru 0.7779 0.2779 0.5000 1
# magnetization	0.000	μB/atom
# uncorrected energy	-79.8	eV per formula unit
# formation energy	-220	meV per atom
# D(E_F)	0.374	states/eV/atom
# crystal system	tetragonal

[3]
# NbVRu (PBE-GGA, optimized geometry)
data_NbVRu
_chemical_formula_sum 'Nb1 V1 Ru1'
_cell_length_a 2.8067
_cell_length_b 4.3307
_cell_length_c 4.3307
_cell_angle_alpha 120.00
_cell_angle_beta 90.00
_cell_angle_gamma 90.00
_space_group_name_H-M_alt 'P 1'
_space_group_IT_number 1
loop_
_space_group_symop_operation_xyz
'x,y,z'
loop_
_atom_site_label
_atom_site_type_symbol
_atom_site_fract_x
_atom_site_fract_y
_atom_site_fract_z
_atom_site_occupancy
Ru1 Ru 0.0088 0.0000 0.0000 1
Nb1 Nb 0.6632 0.3333 0.6667 1
V1 V 0.3280 0.6667 0.3333 1
# magnetization	0.000	μB/atom
# uncorrected energy	-28.9	eV per formula unit
# formation energy	-138	meV per atom
# D(E_F)	0.766	states/eV/atom
# crystal system	trigonal

[4]
# Nb6VRu2 (PBE-GGA, optimized geometry)
data_Nb6VRu2
_chemical_formula_sum 'Nb6 V1 Ru2'
_cell_length_a 2.8677
_cell_length_b 7.0609
_cell_length_c 8.3470
_cell_angle_alpha 73.57
_cell_angle_beta 80.11
_cell_angle_gamma 78.28
_space_group_name_H-M_alt 'P 1'
_space_group_IT_number 1
loop_
_space_group_symop_operation_xyz
'x,y,z'
loop_
_atom_site_label
_atom_site_type_symbol
_atom_site_fract_x
_atom_site_fract_y
_atom_site_fract_z
_atom_site_occupancy
Nb1 Nb 0.7853 0.3315 0.0980 1
Nb2 Nb 0.2147 0.6685 0.9020 1
Nb3 Nb 0.3383 0.7684 0.5550 1
Nb4 Nb 0.0552 0.6162 0.2735 1
Nb5 Nb 0.9448 0.3838 0.7265 1
Nb6 Nb 0.6617 0.2316 0.4450 1
V1 V 0.0000 0.0000 0.0000 1
Ru1 Ru 0.3799 0.9845 0.2556 1
Ru2 Ru 0.6201 0.0155 0.7444 1
# magnetization	0.000	μB/atom
# uncorrected energy	-86.8	eV per formula unit
# formation energy	147	meV per atom
# D(E_F)	1.207	states/eV/atom
# crystal system	monoclinic

[5]
# Nb14VRu (PBE-GGA, optimized geometry)
data_Nb14VRu
_chemical_formula_sum 'Nb14 V1 Ru1'
_cell_length_a 6.5577
_cell_length_b 6.5577
_cell_length_c 6.5665
_cell_angle_alpha 90.00
_cell_angle_beta 90.00
_cell_angle_gamma 90.00
_space_group_name_H-M_alt 'P 1'
_space_group_IT_number 1
loop_
_space_group_symop_operation_xyz
'x,y,z'
loop_
_atom_site_label
_atom_site_type_symbol
_atom_site_fract_x
_atom_site_fract_y
_atom_site_fract_z
_atom_site_occupancy
Nb1 Nb 0.8750 0.8750 0.0000 1
Nb2 Nb 0.3750 0.3750 0.0000 1
Nb3 Nb 0.8750 0.3750 0.5000 1
Nb4 Nb 0.8750 0.3750 0.0000 1
Nb5 Nb 0.3750 0.8750 0.5000 1
Nb6 Nb 0.3750 0.8750 0.0000 1
Nb7 Nb 0.6247 0.1253 0.2553 1
Nb8 Nb 0.6247 0.1253 0.7447 1
Nb9 Nb 0.1253 0.6247 0.2553 1
Nb10 Nb 0.1253 0.6247 0.7447 1
Nb11 Nb 0.6247 0.6247 0.2553 1
Nb12 Nb 0.6247 0.6247 0.7447 1
Nb13 Nb 0.1253 0.1253 0.2553 1
Nb14 Nb 0.1253 0.1253 0.7447 1
V1 V 0.8750 0.8750 0.5000 1
Ru1 Ru 0.3750 0.3750 0.5000 1
# magnetization	0.000	μB/atom
# uncorrected energy	-160.5	eV per formula unit
# formation energy	-70	meV per atom
# D(E_F)	1.451	states/eV/atom
# crystal system	tetragonal

[6]
# Nb8VRu2 (PBE-GGA, optimized geometry)
data_Nb8VRu2
_chemical_formula_sum 'Nb8 V1 Ru2'
_cell_length_a 5.2792
_cell_length_b 7.5016
_cell_length_c 7.5016
_cell_angle_alpha 41.38
_cell_angle_beta 85.77
_cell_angle_gamma 85.77
_space_group_name_H-M_alt 'P 1'
_space_group_IT_number 1
loop_
_space_group_symop_operation_xyz
'x,y,z'
loop_
_atom_site_label
_atom_site_type_symbol
_atom_site_fract_x
_atom_site_fract_y
_atom_site_fract_z
_atom_site_occupancy
Nb1 Nb 0.3651 0.3433 0.8462 1
Nb2 Nb 0.6349 0.1538 0.6567 1
Nb3 Nb 0.1116 0.7914 0.7914 1
Nb4 Nb 0.8884 0.2086 0.2086 1
Nb5 Nb 0.3651 0.8462 0.3433 1
Nb6 Nb 0.6349 0.6567 0.1538 1
Nb7 Nb 0.8782 0.5838 0.5838 1
Nb8 Nb 0.1218 0.4162 0.4162 1
V1 V 0.0000 0.0000 0.0000 1
Ru1 Ru 0.6100 0.7397 0.7397 1
Ru2 Ru 0.3900 0.2603 0.2603 1
# magnetization	0.000	μB/atom
# uncorrected energy	-107.4	eV per formula unit
# formation energy	76	meV per atom
# D(E_F)	1.216	states/eV/atom
# crystal system	monoclinic

[7]
# NbVRu3 (PBE-GGA, optimized geometry)
data_NbVRu3
_chemical_formula_sum 'Nb2 V2 Ru6'
_cell_length_a 4.3520
_cell_length_b 5.1505
_cell_length_c 7.5502
_cell_angle_alpha 104.03
_cell_angle_beta 90.00
_cell_angle_gamma 114.99
_space_group_name_H-M_alt 'P 1'
_space_group_IT_number 1
loop_
_space_group_symop_operation_xyz
'x,y,z'
loop_
_atom_site_label
_atom_site_type_symbol
_atom_site_fract_x
_atom_site_fract_y
_atom_site_fract_z
_atom_site_occupancy
Nb1 Nb 0.6472 0.2944 0.5538 1
Nb2 Nb 0.3528 0.7056 0.4462 1
V1 V 0.8606 0.7212 0.9574 1
V2 V 0.1394 0.2788 0.0426 1
Ru1 Ru 0.0642 0.1284 0.3405 1
Ru2 Ru 0.9358 0.8716 0.6595 1
Ru3 Ru 0.4204 0.8409 0.1290 1
Ru4 Ru 0.5796 0.1591 0.8710 1
Ru5 Ru 0.2531 0.5063 0.7621 1
Ru6 Ru 0.7469 0.4937 0.2379 1
# magnetization	0.000	μB/atom
# uncorrected energy	-47.7	eV per formula unit
# formation energy	-129	meV per atom
# D(E_F)	0.757	states/eV/atom
# crystal system	monoclinic

[8]
# NbVRu (PBE-GGA, optimized geometry)
data_NbVRu
_chemical_formula_sum 'Nb2 V2 Ru2'
_cell_length_a 2.9327
_cell_length_b 2.9328
_cell_length_c 10.6820
_cell_angle_alpha 90.02
_cell_angle_beta 89.87
_cell_angle_gamma 90.00
_space_group_name_H-M_alt 'P 1'
_space_group_IT_number 1
loop_
_space_group_symop_operation_xyz
'x,y,z'
loop_
_atom_site_label
_atom_site_type_symbol
_atom_site_fract_x
_atom_site_fract_y
_atom_site_fract_z
_atom_site_occupancy
Nb1 Nb 0.8702 0.2914 0.1502 1
Nb2 Nb 0.3747 0.7908 0.3621 1
V1 V 0.8717 0.2912 0.8302 1
V2 V 0.3732 0.7911 0.6821 1
Ru1 Ru 0.8745 0.2909 0.5484 1
Ru2 Ru 0.3704 0.7913 0.9639 1
# magnetization	0.000	μB/atom
# uncorrected energy	-29.1	eV per formula unit
# formation energy	-218	meV per atom
# D(E_F)	0.788	states/eV/atom
# crystal system	monoclinic

[9]
# NbV3Ru4 (PBE-GGA, optimized geometry)
data_NbV3Ru4
_chemical_formula_sum 'Nb2 V6 Ru8'
_cell_length_a 4.1652
_cell_length_b 6.6292
_cell_length_c 8.3305
_cell_angle_alpha 90.00
_cell_angle_beta 90.00
_cell_angle_gamma 90.00
_space_group_name_H-M_alt 'P 1'
_space_group_IT_number 1
loop_
_space_group_symop_operation_xyz
'x,y,z'
loop_
_atom_site_label
_atom_site_type_symbol
_atom_site_fract_x
_atom_site_fract_y
_atom_site_fract_z
_atom_site_occupancy
Ru1 Ru 0.5000 0.7749 0.0000 1
Ru2 Ru 0.5000 0.7749 0.5000 1
Ru3 Ru 0.5000 0.2251 0.0000 1
Ru4 Ru 0.5000 0.2251 0.5000 1
Ru5 Ru 0.9999 0.7749 0.7500 1
Ru6 Ru 0.0001 0.7749 0.2500 1
Ru7 Ru 0.0001 0.2251 0.2500 1
Ru8 Ru 0.9999 0.2251 0.7500 1
Nb1 Nb 0.0000 0.5000 0.0000 1
Nb2 Nb 0.0000 0.5000 0.5000 1
V1 V 0.0000 0.0000 0.0000 1
V2 V 0.0000 0.0000 0.5000 1
V3 V 0.4999 0.0000 0.7500 1
V4 V 0.5001 0.0000 0.2500 1
V5 V 0.4999 0.5000 0.7500 1
V6 V 0.5001 0.5000 0.2500 1
# magnetization	0.061	μB/atom
# uncorrected energy	-76.3	eV per formula unit
# formation energy	-217	meV per atom
# D(E_F)	1.269	states/eV/atom
# crystal system	tetragonal

[10]
# Nb2V2Ru3 (PBE-GGA, optimized geometry)
data_Nb2V2Ru3
_chemical_formula_sum 'Nb2 V2 Ru3'
_cell_length_a 4.3014
_cell_length_b 2.7796
_cell_length_c 10.2657
_cell_angle_alpha 117.92
_cell_angle_beta 77.91
_cell_angle_gamma 90.00
_space_group_name_H-M_alt 'P 1'
_space_group_IT_number 1
loop_
_space_group_symop_operation_xyz
'x,y,z'
loop_
_atom_site_label
_atom_site_type_symbol
_atom_site_fract_x
_atom_site_fract_y
_atom_site_fract_z
_atom_site_occupancy
Nb1 Nb 0.7069 0.3092 0.5862 1
Nb2 Nb 0.2931 0.6908 0.4138 1
V1 V 0.5627 0.4409 0.8746 1
V2 V 0.4373 0.5591 0.1254 1
Ru1 Ru 0.8592 0.1057 0.2816 1
Ru2 Ru 0.0000 0.0000 0.0000 1
Ru3 Ru 0.1408 0.8943 0.7184 1
# magnetization	0.000	μB/atom
# uncorrected energy	-66.8	eV per formula unit
# formation energy	-86	meV per atom
# D(E_F)	1.288	states/eV/atom
# crystal system	monoclinic

[11]
# Nb7V2Ru3 (PBE-GGA, optimized geometry)
data_Nb7V2Ru3
_chemical_formula_sum 'Nb7 V2 Ru3'
_cell_length_a 4.3736
_cell_length_b 4.4935
_cell_length_c 11.2734
_cell_angle_alpha 101.50
_cell_angle_beta 90.00
_cell_angle_gamma 90.00
_space_group_name_H-M_alt 'P 1'
_space_group_IT_number 1
loop_
_space_group_symop_operation_xyz
'x,y,z'
loop_
_atom_site_label
_atom_site_type_symbol
_atom_site_fract_x
_atom_site_fract_y
_atom_site_fract_z
_atom_site_occupancy
Nb1 Nb 0.0000 0.4260 0.8520 1
Nb2 Nb 0.0000 0.7127 0.4255 1
Nb3 Nb 0.0000 0.0000 0.0000 1
Nb4 Nb 0.0000 0.5740 0.1480 1
Nb5 Nb 0.5000 0.0786 0.1573 1
Nb6 Nb 0.5000 0.9214 0.8427 1
Nb7 Nb 0.0000 0.2873 0.5745 1
V1 V 0.0000 0.8521 0.7043 1
V2 V 0.0000 0.1479 0.2957 1
Ru1 Ru 0.5000 0.5000 0.0000 1
Ru2 Ru 0.5000 0.6476 0.2952 1
Ru3 Ru 0.5000 0.3524 0.7048 1
# magnetization	0.000	μB/atom
# uncorrected energy	-113.9	eV per formula unit
# formation energy	220	meV per atom
# D(E_F)	1.105	states/eV/atom
# crystal system	orthorhombic